# 1
Below is a relaxed PuInPd crystal, with properties calculated at the PBE level.

Results
Its formation energy from the elements is -0.3785 eV/atom. For the total DFT energy (no corrections), the calculation gives -7.800 eV/atom. As for the space group: I4mm.

Cell lengths 3.2763, 3.2763, 6.4997 Å; angles 104.60, 104.60, 90.00 degrees
Site moments in Bohr magnetons follow the coordinates.
Atoms (fractional coordinates):
Pu1 0.6056 0.6056 0.2113  5.47
Pd1 0.9386 0.9386 0.8772  0.00
In1 0.3058 0.3058 0.6116  -0.02

=====

# 2
Below is a relaxed PuIn4Pd5 crystal, with properties calculated at the PBE level.

Results
Its formation energy from the elements is -0.4728 eV/atom. For the total DFT energy (no corrections), the calculation gives -5.598 eV/atom. As for the space group: P4/mmm.

Cell lengths 3.3034, 3.3034, 17.1270 Å; angles 90.00, 90.00, 90.00 degrees
Site moments in Bohr magnetons follow the coordinates.
Atoms (fractional coordinates):
Pu1 0.0000 0.0000 0.0000  5.34
In1 0.0000 0.0000 0.2117  0.00
In2 0.0000 0.0000 0.4044  0.00
In3 0.0000 0.0000 0.5956  0.00
In4 0.0000 0.0000 0.7883  0.00
Pd1 0.5000 0.5000 0.1204  0.01
Pd2 0.5000 0.5000 0.3096  0.01
Pd3 0.5000 0.5000 0.5000  0.01
Pd4 0.5000 0.5000 0.6904  0.01
Pd5 0.5000 0.5000 0.8796  0.01

=====

# 3
Below is a relaxed PuInPd6 crystal, with properties calculated at the PBE level.

Results
Its formation energy from the elements is -0.5075 eV/atom. For the total DFT energy (no corrections), the calculation gives -6.536 eV/atom. The value obtained for the polymorph energy (0 for the lowest one) is 0.00 eV/f.u. As for the space group: P4/mmm.

Cell lengths 4.1017, 4.1017, 8.1504 Å; angles 90.00, 90.00, 90.00 degrees
Site moments in Bohr magnetons follow the coordinates.
Atoms (fractional coordinates):
Pu1 0.0000 0.0000 0.5000  4.67
In1 0.0000 0.0000 0.0000  -0.01
Pd1 0.5000 0.5000 0.0000  -0.04
Pd2 0.5000 0.5000 0.5000  -0.10
Pd3 0.5000 0.0000 0.2469  -0.07
Pd4 0.5000 0.0000 0.7531  -0.07
Pd5 0.0000 0.5000 0.2469  -0.07
Pd6 0.0000 0.5000 0.7531  -0.07